Here is a geometry-optimized Ce7HgRh2 structure from Alexandria. Energies are from PBE.

abc: 5.2527 7.9491 7.9491
angles: 113.12 90.00 90.00
Each line ends with the local moment (μB).
Fractional positions:
Ce (0.5000, 0.2738, 0.0551)  0.65
Ce (0.5000, 0.7262, 0.9449)  0.65
Ce (0.5000, 0.0551, 0.2738)  0.65
Ce (0.5000, 0.9449, 0.7262)  0.65
Ce (0.0000, 0.7162, 0.2838)  0.74
Ce (0.5000, 0.5000, 0.5000)  0.57
Ce (0.0000, 0.2838, 0.7162)  0.74
Rh (0.5000, 0.6918, 0.3082)  -0.06
Rh (0.5000, 0.3082, 0.6918)  -0.06
Hg (0.0000, 0.0000, 0.0000)  0.00

- total energy (eV per cell) = -57.575
- crystal system = orthorhombic
- M_tot (μB/cell) = 5.7

---

Here is a geometry-optimized Ce8Hg2Rh3 structure from Alexandria. Energies are from PBE.

abc: 6.5030 7.0610 8.4802
angles: 114.60 97.35 90.00
Each line ends with the local moment (μB).
Fractional positions:
Hg (0.6682, 0.7586, 0.5172)  0.01
Hg (0.3318, 0.2414, 0.4828)  0.01
Ce (0.8335, 0.1560, 0.3120)  0.89
Ce (0.6255, 0.6038, 0.8048)  0.21
Ce (0.1665, 0.8440, 0.6880)  0.89
Ce (0.9107, 0.6017, 0.2034)  0.42
Ce (0.6255, 0.2010, 0.8048)  0.21
Ce (0.0893, 0.3983, 0.7966)  0.42
Ce (0.3745, 0.3962, 0.1952)  0.21
Ce (0.3745, 0.7990, 0.1952)  0.21
Rh (0.5000, 0.0000, 0.0000)  -0.03
Rh (0.0000, 0.1934, 0.0000)  -0.03
Rh (0.0000, 0.8066, 0.0000)  -0.03

- total energy (eV per cell) = -73.379
- crystal system = monoclinic
- M_tot (μB/cell) = 4.3

---

Here is a geometry-optimized Ce6Hg5Rh structure from Alexandria. Energies are from PBE.

abc: 5.4845 7.0383 9.2668
angles: 67.69 72.70 90.00
Each line ends with the local moment (μB).
Fractional positions:
Hg (0.6935, 0.1935, 0.6129)  0.00
Hg (0.0000, 0.5000, 0.0000)  0.00
Hg (0.3385, 0.3381, 0.3236)  0.00
Hg (0.3065, 0.8065, 0.3871)  0.00
Hg (0.6615, 0.6619, 0.6764)  0.00
Ce (0.4998, 0.2029, 0.9998)  0.75
Ce (0.1515, 0.3682, 0.6963)  0.70
Ce (0.5002, 0.7971, 0.0002)  0.75
Ce (0.8485, 0.6318, 0.3037)  0.70
Ce (0.8485, 0.0646, 0.3035)  0.70
Ce (0.1515, 0.9354, 0.6965)  0.70
Rh (0.0000, 0.0000, 0.0000)  -0.10

- total energy (eV per cell) = -48.778
- crystal system = monoclinic
- M_tot (μB/cell) = 4.8

---

Here is a geometry-optimized Ce6HgRh3 structure from Alexandria. Energies are from PBE.

abc: 6.9221 8.7378 8.7378
angles: 102.82 90.00 90.00
Each line ends with the local moment (μB).
Fractional positions:
Ce (0.2575, 0.4995, 0.8995)  0.42
Ce (0.2027, 0.7311, 0.5955)  0.41
Ce (0.7027, 0.5955, 0.7311)  0.41
Ce (0.7575, 0.8995, 0.4995)  0.42
Ce (0.2027, 0.4045, 0.2689)  0.41
Ce (0.7027, 0.2689, 0.4045)  0.41
Ce (0.2575, 0.1005, 0.5005)  0.42
Ce (0.7367, 0.9927, 0.0073)  0.40
Ce (0.7575, 0.5005, 0.1005)  0.42
Ce (0.2367, 0.0073, 0.9927)  0.40
Ce (0.9947, 0.7637, 0.2363)  0.27
Ce (0.4947, 0.2363, 0.7637)  0.27
Hg (0.9618, 0.2130, 0.7870)  0.01
Hg (0.4618, 0.7870, 0.2130)  0.01
Rh (0.9893, 0.7399, 0.9045)  -0.04
Rh (0.9893, 0.0955, 0.2601)  -0.04
Rh (0.8934, 0.5586, 0.4414)  -0.04
Rh (0.4893, 0.2601, 0.0955)  -0.04
Rh (0.4893, 0.9045, 0.7399)  -0.04
Rh (0.3934, 0.4414, 0.5586)  -0.04

- total energy (eV per cell) = -124.092
- crystal system = orthorhombic
- M_tot (μB/cell) = 5.3